[1]
KTa3S | PBE-GGA | relaxed

Summary:
The calculation puts the offset from the most stable computed form at 2.2447 eV/atom.

a = 4.684 Å, b = 4.684 Å, c = 4.684 Å
α = 90.00°, β = 90.00°, γ = 90.00°
Fractional positions:
K 0.000 0.000 0.000
S 0.500 0.500 0.500
Ta 0.000 0.500 0.000
Ta 0.000 0.000 0.500
Ta 0.500 0.000 0.000



[2]
KTaS2 | PBE-GGA | relaxed

a = 6.498 Å, b = 6.498 Å, c = 7.383 Å
α = 63.89°, β = 63.89°, γ = 90.00°
Fractional positions:
K 0.500 0.500 0.000
K 0.250 0.750 0.500
S 0.742 0.125 0.250
S 0.008 0.625 0.250
S 0.375 0.258 0.750
S 0.875 0.992 0.750
Ta 0.000 0.000 0.000
Ta 0.750 0.250 0.500



Number 1: formation energy from raw total energies 3182 meV/atom, density of states at the Fermi level 0.9097 states/eV/atom. Number 2: formation energy from raw total energies -711 meV/atom, density of states at the Fermi level 0.6832 states/eV/atom.